No. 1
Compound: AlCrH4
Source: Alexandria via LeMat-Bulk
Functional: PBE
Structure: relaxed

The total energy comes out at -4.42 eV per atom.

The structure belongs to space group P2_1/c (No. 14); the cell edges are 4.3035, 8.6559 and 6.1700 Å and the angles 90.00°, 132.68° and 90.00°. The distinct sites, in fractional coordinates, are Al at (0.2116, 0.0940, 0.2448), Cr at (0.2558, 0.7353, 0.7561), H at (0.1941, 0.6601, 0.9825), H at (0.2106, 0.5748, 0.2663), H at (0.2608, 0.1643, 0.9734) and H at (0.4851, 0.0737, 0.6815).

No. 2
Compound: Al2CrH2
Source: Alexandria via LeMat-Bulk
Functional: PBE
Structure: relaxed

The total energy comes out at -4.63 eV per atom.

The structure belongs to space group P4/mbm (No. 127); the cell edges are 5.2916, 5.2916 and 3.8799 Å and the angles 90.00°, 90.00° and 90.00°. The distinct sites, in fractional coordinates, are Al at (0.1886, 0.3114, 0.0000), Cr at (0.0000, 0.0000, 0.5000) and H at (0.2095, 0.2905, 0.5000).